Crystalline BaReP at its relaxed geometry. Source: the Alexandria database, functional PBE.

Cell lengths 6.3992, 6.3992, 6.3992 Å; angles 150.39, 150.39, 42.37 degrees
Last column: nearest neighbours and their distance in Å.
Atoms (fractional coordinates):
Ba 0.0000 0.0000 0.0000  4 Ba 3.27, 5 P 3.40-3.46, 5 Re 3.41-3.46
Re 0.2896 0.2896 0.0000  4 P 2.48
P 0.7154 0.7154 0.0000  4 Re 2.48

Calculated values
ΔE to the lowest computed polymorph   521 meV/atom
Crystal system   tetragonal
Energy   -19.7 eV/cell
Energy of formation from the pure elements   0.012 eV per atom
D(E_F)   1.679 states/eV per cell